Computed, not measured: an optimized crystal structure of Sm3Zn8Cd at the PBE-GGA level of DFT.

Unit cell a=9.524 b=9.524 c=9.524 alpha=33.50 beta=33.50 gamma=33.50
Fractional coordinates of all 12 atoms:
Sm: 0.000 0.000 0.000
Sm: 0.126 0.126 0.126
Sm: 0.617 0.617 0.617
Zn: 0.056 0.562 0.562
Zn: 0.062 0.062 0.558
Zn: 0.062 0.558 0.062
Zn: 0.311 0.311 0.311
Zn: 0.558 0.062 0.062
Zn: 0.562 0.056 0.562
Zn: 0.562 0.562 0.056
Zn: 0.810 0.810 0.810
Cd: 0.495 0.495 0.495

Summary:
**ΔH_f (0 K)**: -0.27 eV/atom
**Calculated total energy**: -2.3772 eV per atom